First-principles (PBE+U) data for crystalline CrAgAuF6 at its relaxed geometry, as listed in Alexandria.

Cell lengths 5.7787, 5.7787, 9.0934 Å; angles 90.00, 90.00, 120.00 degrees
With the nearest neighbours (Å) after each atom.
Space group P-31c (No. 163)
Unique sites:
Cr  0.3333  0.6667  0.2500 (multiplicity 2)  6 F 1.96
Ag  0.3333  0.6667  0.7500 (multiplicity 2)  6 F 2.37
Au  0.0000  0.0000  0.0000 (multiplicity 2)  6 F 2.38
F  0.0538  0.3812  0.1311 (multiplicity 12)  1 Cr 1.96

Results
- Total energy: -79.4 eV per cell